# 1
{"formula": "Dy4CdCo", "functional": "PBE-GGA", "state": "relaxed", "relative_energy_kj_per_mol_atoms": 0.0, "m_tot_mub_per_atom": 0.000, "delta_e_f_mev_per_atom": -252, "energy_ev_per_fu": -27.942, "lattice_angstrom": [[0.0000, 6.7066, 6.7066], [6.7066, 0.0000, 6.7066], [6.7066, 6.7066, 0.0000]], "species": ["Dy", "Dy", "Dy", "Dy", "Dy", "Dy", "Dy", "Dy", "Dy", "Dy", "Dy", "Dy", "Dy", "Dy", "Dy", "Dy", "Cd", "Cd", "Cd", "Cd", "Co", "Co", "Co", "Co"], "frac_coords": [[0.0398, 0.6534, 0.6534], [0.0618, 0.0618, 0.4382], [0.0618, 0.4382, 0.0618], [0.0618, 0.4382, 0.4382], [0.1883, 0.1883, 0.8117], [0.1883, 0.8117, 0.1883], [0.1883, 0.8117, 0.8117], [0.4382, 0.0618, 0.0618], [0.4382, 0.0618, 0.4382], [0.4382, 0.4382, 0.0618], [0.6534, 0.0398, 0.6534], [0.6534, 0.6534, 0.0398], [0.6534, 0.6534, 0.6534], [0.8117, 0.1883, 0.1883], [0.8117, 0.1883, 0.8117], [0.8117, 0.8117, 0.1883], [0.4195, 0.4195, 0.4195], [0.4195, 0.4195, 0.7415], [0.4195, 0.7415, 0.4195], [0.7415, 0.4195, 0.4195], [0.4232, 0.8589, 0.8589], [0.8589, 0.4232, 0.8589], [0.8589, 0.8589, 0.4232], [0.8589, 0.8589, 0.8589]]}

# 2
{"formula": "DyErCdCo", "functional": "PBE-GGA", "state": "relaxed", "relative_energy_kj_per_mol_atoms": 0.0, "m_tot_mub_per_atom": 0.119, "delta_e_f_mev_per_atom": -269, "energy_ev_per_fu": -18.262, "lattice_angstrom": [[3.4101, 0.0000, 0.0000], [0.0000, 3.4101, 0.0000], [0.0000, 0.0000, 7.6069]], "species": ["Dy", "Er", "Cd", "Co"], "frac_coords": [[0.0000, 0.0000, 0.0000], [0.0000, 0.0000, 0.5755], [0.5000, 0.5000, 0.2908], [0.5000, 0.5000, 0.7846]]}

# 3
{"formula": "DyErCdCo", "functional": "PBE-GGA", "state": "relaxed", "relative_energy_kj_per_mol_atoms": 11.3, "m_tot_mub_per_atom": 0.140, "delta_e_f_mev_per_atom": -152, "energy_ev_per_fu": -17.794, "lattice_angstrom": [[0.0000, 3.5413, 3.5413], [3.5413, 0.0000, 3.5413], [3.5413, 3.5413, 0.0000]], "species": ["Dy", "Er", "Cd", "Co"], "frac_coords": [[0.0000, 0.0000, 0.0000], [0.5000, 0.5000, 0.5000], [0.7500, 0.7500, 0.7500], [0.2500, 0.2500, 0.2500]]}

# 4
{"formula": "Dy5Cd2Co2Hg", "functional": "PBE-GGA", "state": "relaxed", "m_tot_mub_per_atom": 0.000, "delta_e_f_mev_per_atom": -266, "energy_ev_per_fu": -42.013, "lattice_angstrom": [[11.5998, 0.0000, 0.0000], [0.0000, 11.5998, 0.0000], [0.0000, 0.0000, 3.5789]], "species": ["Dy", "Dy", "Dy", "Dy", "Dy", "Dy", "Dy", "Dy", "Dy", "Dy", "Cd", "Cd", "Cd", "Cd", "Co", "Co", "Co", "Co", "Hg", "Hg"], "frac_coords": [[0.0000, 0.5000, 0.0000], [0.0777, 0.2116, 0.0000], [0.2116, 0.9223, 0.0000], [0.2884, 0.4223, 0.0000], [0.4223, 0.7116, 0.0000], [0.5000, 0.0000, 0.0000], [0.5777, 0.2884, 0.0000], [0.7116, 0.5777, 0.0000], [0.7884, 0.0777, 0.0000], [0.9223, 0.7884, 0.0000], [0.1739, 0.6739, 0.5000], [0.3261, 0.1739, 0.5000], [0.6739, 0.8261, 0.5000], [0.8261, 0.3261, 0.5000], [0.1270, 0.3730, 0.5000], [0.3730, 0.8730, 0.5000], [0.6270, 0.1270, 0.5000], [0.8730, 0.6270, 0.5000], [0.0000, 0.0000, 0.5000], [0.5000, 0.5000, 0.5000]]}